No. 1
Below is ErUInO6 after structural relaxation, with properties calculated at the PBE-GGA level.

DFT total energy in eV for the cell shown: -146.6
Mass density in g/cm3: 7.9
Spin magnetization in μB per formula unit: 0.00

Cell and atoms, written as POSCAR:
```
ErUInO6
1.0
5.547 0.000 0.000
-2.774 4.804 0.000
0.000 0.000 9.720
Er U In O
2 2 2 12
Cartesian
0.000 0.000 0.000 Er
0.000 0.000 4.860 Er
0.000 3.203 2.430 U
2.774 1.601 7.290 U
0.000 3.203 7.290 In
2.774 1.601 2.430 In
-0.885 1.670 1.292 O
-1.769 3.202 3.568 O
0.885 1.670 3.568 O
-0.884 4.735 1.292 O
1.889 0.069 6.152 O
1.004 1.602 8.428 O
1.769 3.202 1.292 O
0.884 4.735 3.568 O
3.658 0.069 8.428 O
1.889 3.133 6.152 O
4.543 1.602 6.152 O
3.658 3.133 8.428 O
```

=====

No. 2
Below is ErUIn2O8 after structural relaxation, with properties calculated at the PBE-GGA level.

DFT total energy in eV for the cell shown: -89.2
Mass density in g/cm3: 7.4
Spin magnetization in μB per formula unit: 0.83

Cell and atoms, written as POSCAR:
```
ErUIn2O8
1.0
3.534 -3.553 0.000
3.534 3.553 0.000
0.000 0.000 6.830
Er U In O
1 1 2 8
Cartesian
0.000 0.000 0.000 Er
0.000 0.000 3.415 U
3.534 0.000 1.706 In
3.534 0.000 5.123 In
3.534 2.219 1.830 O
3.534 2.219 4.999 O
2.126 0.000 3.415 O
2.203 0.000 0.000 O
4.865 0.000 0.000 O
4.942 0.000 3.415 O
3.534 -2.219 1.830 O
3.534 -2.219 4.999 O
```

=====

> The highest mass density belongs to which entry?

ErUInO6